Entry from the Alexandria database: a geometry-optimized SnWIN2 structure (GGA-PBE).

Summary:
Calculated total energy = -31.32 eV for the cell shown
Formation energy from raw total energies = 768 meV per atom
Density = 8.0 Mg/m³

Lattice parameters (Å, degrees): 4.126 4.126 5.603 90.00 90.00 90.00
Positions (direct):
Sn (0.000, 0.000, 0.000)
W (0.500, 0.500, 0.500)
I (0.500, 0.500, 0.000)
N (0.000, 0.500, 0.500)
N (0.500, 0.000, 0.500)